5
Lattice="-1.3633 -4.8301 0.0869 4.0948 -1.1296 1.4527 -1.5411 0.5204 4.7487" Properties=species:S:1:pos:R:3 comment="PBE with a Hubbard U Pd2WSO, optimized geometry" sg=P4/mmm dos_ef_per_ev_cell=6.0 dft_energy_ev_per_atom=-3.99 pbc="T T T"
O 0.5952 -2.7197 3.1441
S 2.0474 -0.5648 0.7263
Pd -0.7705 0.2602 2.3743
Pd -0.6817 -2.4150 0.0434
W 0.0000 0.0000 0.0000